No. 1
Computed, not measured: a relaxed structure of TlAgP2O6 at the PBE level of DFT.

a b c (Å): 8.550 8.550 4.650
angles (deg): 94.55 94.55 96.49
Fractional positions:
Tl (0.210, 0.790, 0.750)
Tl (0.790, 0.210, 0.250)
Ag (0.416, 0.584, 0.250)
Ag (0.584, 0.416, 0.750)
P (0.159, 0.307, 0.860)
P (0.307, 0.159, 0.360)
P (0.693, 0.841, 0.640)
P (0.841, 0.693, 0.140)
O (0.011, 0.690, 0.234)
O (0.168, 0.233, 0.170)
O (0.233, 0.168, 0.670)
O (0.274, 0.457, 0.872)
O (0.310, 0.989, 0.266)
O (0.457, 0.274, 0.372)
O (0.543, 0.726, 0.628)
O (0.690, 0.011, 0.734)
O (0.726, 0.543, 0.128)
O (0.767, 0.832, 0.330)
O (0.832, 0.767, 0.830)
O (0.989, 0.310, 0.766)

***

No. 2
Computed, not measured: a relaxed structure of Tl3AgP2O8 at the PBE level of DFT.

a b c (Å): 5.511 5.511 7.548
angles (deg): 90.00 90.00 120.00
Fractional positions:
Tl (0.000, 0.000, 0.000)
Tl (0.333, 0.667, 0.639)
Tl (0.667, 0.333, 0.361)
Ag (0.000, 0.000, 0.500)
P (0.333, 0.667, 0.151)
P (0.667, 0.333, 0.849)
O (0.178, 0.355, 0.224)
O (0.178, 0.822, 0.224)
O (0.333, 0.667, 0.952)
O (0.355, 0.178, 0.776)
O (0.645, 0.822, 0.224)
O (0.667, 0.333, 0.048)
O (0.822, 0.178, 0.776)
O (0.822, 0.645, 0.776)

***

No. 3
Computed, not measured: a relaxed structure of TmAgP2O8 at the PBE level of DFT.

a b c (Å): 5.784 5.784 5.784
angles (deg): 106.09 106.09 116.46
Fractional positions:
Tm (0.000, 0.000, 0.000)
Ag (0.750, 0.250, 0.500)
P (0.250, 0.750, 0.500)
P (0.500, 0.500, 0.000)
O (0.096, 0.418, 0.322)
O (0.096, 0.774, 0.678)
O (0.164, 0.333, 0.831)
O (0.226, 0.904, 0.322)
O (0.502, 0.333, 0.169)
O (0.582, 0.904, 0.678)
O (0.667, 0.498, 0.831)
O (0.667, 0.836, 0.169)

***

no.,E_form (uncorrected) (eV per atom),E_tot (eV per atom)
1,-1.680,-6.259
2,-1.405,-5.722
3,-2.026,-6.844